Below is a geometry-optimized TlTcAgTe2Se structure, with properties calculated at the GGA-PBE level.

Results
For the distance to the lowest polymorph of the same formula, the calculation gives 118.2 meV/atom.

Lattice parameters (Å, degrees): 3.9164 15.4201 10.3575 90.00 90.00 90.00
Space group Cmcm (No. 63)
Symmetry-distinct sites (fractional):
Tl  0.0000  0.2420  0.2500 x4
Tc  0.0000  0.0000  0.0000 x4
Ag  0.0000  0.4573  0.7500 x4
Te  0.0000  0.3721  0.5200 x8
Se  0.0000  0.0688  0.7500 x4

***

Below is a geometry-optimized Pr2Ho2I5N structure, with properties calculated at the GGA-PBE level.

Results
The calculated total energy is -4.77 eV/atom.

Lattice parameters (Å, degrees): 19.4792 3.9939 8.8266 90.00 102.59 90.00
Space group C2/m (No. 12)
Symmetry-distinct sites (fractional):
Pr  0.9995  0.0000  0.1938 x4
Ho  0.1221  0.5000  0.0597 x4
I  0.0000  0.5000  0.5000 x2
I  0.1660  0.0000  0.3255 x4
I  0.1682  0.0000  0.8367 x4
N  0.0000  0.5000  0.0000 x2

***

Below is a geometry-optimized BaHoAg2Sb2 structure, with properties calculated at the GGA-PBE level.

Results
The calculated total energy is -4.08 eV/atom.

Lattice parameters (Å, degrees): 4.8288 4.8288 8.2225 90.00 90.00 120.00
Space group P3m1 (No. 156)
Symmetry-distinct sites (fractional):
Ba  0.0000  0.0000  0.0000 x1
Ho  0.0000  0.0000  0.4999 x1
Ag  0.3333  0.6667  0.6839 x1
Ag  0.6667  0.3333  0.3279 x1
Sb  0.3333  0.6667  0.2745 x1
Sb  0.6667  0.3333  0.7231 x1

***

Computed values of volume (unit: Å³ per cell) for the preceding records, in sequence: 625.5, 670.2, 166.0.
Computed values of magnetic moment (unit: μB per formula unit) for the preceding records, in sequence: 2.38, 0.00, 0.01.